1.
The following is a PBE calculation of a geometry-optimized RbCaNi2Ge structure, from the Alexandria database.

Values from the calculation:
* DFT total energy: -3.252 eV/atom
* calculated volume: 24.88 A^3/atom
* DFT formation energy: 0.578 eV per atom
* space group: No. 123

a b c (Å): 4.6586 5.7329 4.6586
angles (deg): 90.00 90.00 90.00
Each line ends with the local moment (μB).
Fractional coordinates of all 5 atoms:
Ni: 0.0000 0.0000 0.5000  0.04
Ni: 0.5000 0.0000 0.0000  0.06
Ge: 0.0000 0.0000 0.0000  0.00
Ca: 0.5000 0.5000 0.5000  0.00
Rb: 0.0000 0.5000 0.0000  0.00

2.
The following is a PBE calculation of a geometry-optimized LaHoSc2 structure, from the Alexandria database.

Values from the calculation:
* energy relative to the lowest polymorph listed for this composition: 8 meV per atom
* DFT total energy: -5.475 eV/atom
* calculated volume: 28.91 A^3/atom
* DFT formation energy: 0.067 eV per atom
* space group: No. 123

a b c (Å): 4.4810 5.0804 5.0804
angles (deg): 90.00 90.00 90.00
Fractional coordinates of all 4 atoms:
Sc: 0.0000 0.0000 0.5000
Sc: 0.0000 0.5000 0.0000
Ho: 0.5000 0.5000 0.5000
La: 0.5000 0.0000 0.0000

3.
The following is a PBE calculation of a geometry-optimized ErNpPt6 structure, from the Alexandria database.

Values from the calculation:
* DFT total energy: -7.573 eV/atom
* calculated volume: 17.57 A^3/atom
* DFT formation energy: -0.854 eV per atom
* space group: No. 123

a b c (Å): 4.1263 4.1263 8.2535
angles (deg): 90.00 90.00 90.00
Each line ends with the local moment (μB).
Fractional coordinates of all 8 atoms:
Er: 0.0000 0.0000 0.0000  -0.01
Np: 0.0000 0.0000 0.5000  3.07
Pt: 0.5000 0.5000 0.0000  -0.04
Pt: 0.5000 0.5000 0.5000  -0.08
Pt: 0.5000 0.0000 0.2512  -0.07
Pt: 0.5000 0.0000 0.7488  -0.07
Pt: 0.0000 0.5000 0.2512  -0.07
Pt: 0.0000 0.5000 0.7488  -0.07

Fermi-level density of states: 5.706; 6.329; 14.188 (states/eV/f.u.)